This record from OQMD via LeMat-Bulk describes AgS after structural relaxation. The functional is PBE.

a b c (Å): 3.9586 3.9586 6.8183
angles (deg): 90.00 90.00 120.00
Positions (direct):
Ag1 0.0000 0.0000 0.0072
Ag2 0.3333 0.6667 0.5072
S1 0.0000 0.0000 0.3678
S2 0.3333 0.6667 0.8678



This record from OQMD via LeMat-Bulk describes Na2CdO2 after structural relaxation. The functional is PBE.

a b c (Å): 8.7985 8.7985 6.2145
angles (deg): 108.70 108.70 85.69
Positions (direct):
Cd1 0.7195 0.8731 0.2437
Cd2 0.3346 0.6654 0.2500
Cd3 0.1269 0.2805 0.2563
Cd4 0.8731 0.7195 0.7437
Cd5 0.6654 0.3346 0.7500
Cd6 0.2805 0.1269 0.7563
Na1 0.6849 0.5259 0.2182
Na2 0.0221 0.5943 0.2413
Na3 0.7990 0.2010 0.2500
Na4 0.0661 0.9339 0.2500
Na5 0.4057 0.9779 0.2587
Na6 0.4741 0.3151 0.2818
Na7 0.5259 0.6849 0.7182
Na8 0.5943 0.0221 0.7413
Na9 0.9339 0.0661 0.7500
Na10 0.2010 0.7990 0.7500
Na11 0.9779 0.4057 0.7587
Na12 0.3151 0.4741 0.7818
O1 0.1995 0.0651 0.0212
O2 0.8879 0.3538 0.0536
O3 0.5021 0.7084 0.0763
O4 0.2916 0.4979 0.4237
O5 0.6462 0.1121 0.4464
O6 0.9349 0.8005 0.4789
O7 0.0651 0.1995 0.5211
O8 0.3538 0.8879 0.5536
O9 0.7084 0.5021 0.5763
O10 0.4979 0.2916 0.9237
O11 0.1121 0.6462 0.9464
O12 0.8005 0.9349 0.9788



no.,uncorrected energy (eV per atom)
1,-3.307
2,-3.864